# 1
Below is a relaxed structure of Ba2MgI2, with properties calculated at the PBE level.

Cell and atoms, written as CIF:
```
data_Ba2MgI2
_chemical_formula_sum 'Ba4 Mg2 I4'
_symmetry_space_group_name_H-M 'P 4/m b m'
_symmetry_Int_Tables_number 127
_symmetry_space_group_name_Hall '-P 4 2ab'
_cell_length_a 9.934
_cell_length_b 9.934
_cell_length_c 4.384
_cell_angle_alpha 90.00
_cell_angle_beta 90.00
_cell_angle_gamma 90.00
loop_
_atom_site_label
_atom_site_type_symbol
_atom_site_fract_x
_atom_site_fract_y
_atom_site_fract_z
Ba1 Ba 0.166 0.334 0.000
Mg1 Mg 0.000 0.000 0.000
I1 I 0.134 0.634 0.500
```

Output
**Calculated volume**: 216.3 Å³/f.u.
**Spin magnetization**: 0.0 μB/cell
**N(E_F)**: 1.23 states/eV/atom
**Formation energy without anion corrections**: -391 kJ/mol of formula units
**Energy relative to the lowest polymorph listed for this composition**: 0.047 eV/atom

# 2
Below is a relaxed structure of TbYHg6, with properties calculated at the PBE level.

Cell and atoms, written as CIF:
```
data_TbYHg6
_chemical_formula_sum 'Tb2 Y2 Hg12'
_symmetry_space_group_name_H-M 'A m m 2'
_symmetry_Int_Tables_number 38
_symmetry_space_group_name_Hall 'A 2 -2'
_cell_length_a 5.032
_cell_length_b 6.666
_cell_length_c 11.509
_cell_angle_alpha 90.00
_cell_angle_beta 90.00
_cell_angle_gamma 90.00
loop_
_atom_site_label
_atom_site_type_symbol
_atom_site_fract_x
_atom_site_fract_y
_atom_site_fract_z
Tb1 Tb 0.000 0.000 0.000
Y1 Y 0.500 0.000 0.329
Hg1 Hg 0.000 0.000 0.497
Hg2 Hg 0.000 0.247 0.748
Hg3 Hg 0.500 0.000 0.832
Hg4 Hg 0.500 0.247 0.581
```

Output
**Calculated volume**: 193.0 Å³/f.u.
**Spin magnetization**: 0.0 μB/cell
**N(E_F)**: 0.76 states/eV/atom
**DFT formation energy**: -2.9 eV per formula unit
**Energy relative to the lowest polymorph listed for this composition**: 0.000 eV/atom